A plane-wave DFT calculation with PBE was carried out for a geometry-optimized TiV2OsCl structure.

Computed properties:
The symmetry is P4/mmm (123). The calculation puts the calculated volume at 90.2 Å³/cell. The calculation puts the energy relative to the elements, uncorrected at 1.5477 eV per atom. The total DFT energy (no corrections) comes out at -6.29 eV/atom.

Cell and atoms, written as POSCAR:
```
TiV2OsCl
1.0
4.5543 0.0000 0.0000
0.0000 4.5543 0.0000
0.0000 0.0000 4.3477
Ti V Os Cl
1 2 1 1
direct
0.0000 0.0000 0.0000
0.0000 0.5000 0.0000
0.5000 0.0000 0.0000
0.5000 0.5000 0.5000
0.0000 0.0000 0.5000
```

---

A plane-wave DFT calculation with PBE was carried out for a geometry-optimized YTi2OsCl structure.

Computed properties:
The symmetry is P4/mmm (123). The calculation puts the calculated volume at 132.6 Å³/cell. The calculation puts the energy relative to the elements, uncorrected at 1.9264 eV per atom. The total DFT energy (no corrections) comes out at -5.14 eV/atom.

Cell and atoms, written as POSCAR:
```
YTi2OsCl
1.0
5.2447 0.0000 0.0000
0.0000 5.2447 0.0000
0.0000 0.0000 4.8188
Y Ti Os Cl
1 2 1 1
direct
0.0000 0.0000 0.0000
0.0000 0.5000 0.0000
0.5000 0.0000 0.0000
0.0000 0.0000 0.5000
0.5000 0.5000 0.5000
```

---

A plane-wave DFT calculation with PBE was carried out for a geometry-optimized ZrTiOs2Cl structure.

Computed properties:
The symmetry is P4/mmm (123). The calculation puts the calculated volume at 110.7 Å³/cell. The calculation puts the energy relative to the elements, uncorrected at 1.4153 eV per atom. The total DFT energy (no corrections) comes out at -6.73 eV/atom.

Cell and atoms, written as POSCAR:
```
ZrTiOs2Cl
1.0
4.5478 0.0000 0.0000
0.0000 4.5478 0.0000
0.0000 0.0000 5.3514
Zr Ti Os Cl
1 1 2 1
direct
0.0000 0.0000 0.0000
0.0000 0.0000 0.5000
0.0000 0.5000 0.5000
0.5000 0.0000 0.5000
0.5000 0.5000 0.0000
```

---

A plane-wave DFT calculation with PBE was carried out for a geometry-optimized TlOs2Cl structure.

Computed properties:
The symmetry is Pm (6). The calculation puts the calculated volume at 82.8 Å³/cell. The calculation puts the energy relative to the elements, uncorrected at 0.3646 eV per atom. The total DFT energy (no corrections) comes out at -6.30 eV/atom.

Cell and atoms, written as POSCAR:
```
TlOs2Cl
1.0
2.9708 0.0000 0.0000
0.0000 2.9543 0.0000
-1.4076 0.0000 9.4300
Tl Os Cl
1 2 1
direct
0.0000 0.0000 0.0000
0.1986 0.0000 0.4224
0.6238 0.5000 0.2645
0.2959 0.5000 0.6282
```

---

A plane-wave DFT calculation with PBE was carried out for a geometry-optimized TlOsCl2 structure.

Computed properties:
The symmetry is Cmmm (65). The calculation puts the calculated volume at 181.0 Å³/cell. The calculation puts the energy relative to the elements, uncorrected at 0.8541 eV per atom. The total DFT energy (no corrections) comes out at -3.47 eV/atom.

Cell and atoms, written as POSCAR:
```
TlOsCl2
1.0
7.4881 0.0000 0.0000
0.0000 7.5304 0.0000
0.0000 0.0000 3.2091
Tl Os Cl
2 2 4
direct
0.0000 0.0000 0.0000
0.5000 0.5000 0.0000
0.0000 0.5000 0.0000
0.5000 0.0000 0.0000
0.2500 0.2500 0.5000
0.2500 0.7500 0.5000
0.7500 0.2500 0.5000
0.7500 0.7500 0.5000
```

---

A plane-wave DFT calculation with PBE was carried out for a geometry-optimized TlOs2Cl structure.

Computed properties:
The symmetry is Fm-3m (225). The calculation puts the calculated volume at 272.7 Å³/cell. The calculation puts the energy relative to the elements, uncorrected at 1.6747 eV per atom. The total DFT energy (no corrections) comes out at -4.99 eV/atom.

Cell and atoms, written as POSCAR:
```
TlOs2Cl
1.0
6.4848 0.0000 0.0000
0.0000 6.4848 0.0000
0.0000 0.0000 6.4848
Tl Os Cl
4 8 4
direct
0.0000 0.0000 0.0000
0.0000 0.5000 0.5000
0.5000 0.0000 0.5000
0.5000 0.5000 0.0000
0.2500 0.2500 0.2500
0.2500 0.2500 0.7500
0.2500 0.7500 0.2500
0.2500 0.7500 0.7500
0.7500 0.2500 0.2500
0.7500 0.2500 0.7500
0.7500 0.7500 0.2500
0.7500 0.7500 0.7500
0.0000 0.0000 0.5000
0.0000 0.5000 0.0000
0.5000 0.0000 0.0000
0.5000 0.5000 0.5000
```

---

A plane-wave DFT calculation with PBE was carried out for a geometry-optimized TlOsCl2 structure.

Computed properties:
The symmetry is P4/mmm (123). The calculation puts the calculated volume at 91.2 Å³/cell. The calculation puts the energy relative to the elements, uncorrected at 0.6827 eV per atom. The total DFT energy (no corrections) comes out at -3.64 eV/atom.

Cell and atoms, written as POSCAR:
```
TlOsCl2
1.0
3.1932 0.0000 0.0000
0.0000 3.1932 0.0000
0.0000 0.0000 8.9448
Tl Os Cl
1 1 2
direct
0.0000 0.0000 0.0000
0.0000 0.0000 0.5000
0.5000 0.5000 0.3142
0.5000 0.5000 0.6858
```

---

A plane-wave DFT calculation with PBE was carried out for a geometry-optimized TlOs2Cl structure.

Computed properties:
The symmetry is I-4m2 (119). The calculation puts the calculated volume at 140.7 Å³/cell. The calculation puts the energy relative to the elements, uncorrected at 1.3754 eV per atom. The total DFT energy (no corrections) comes out at -5.29 eV/atom.

Cell and atoms, written as POSCAR:
```
TlOs2Cl
1.0
5.0114 0.0000 0.0000
0.0000 5.0114 0.0000
0.0000 0.0000 5.6013
Tl Os Cl
2 4 2
direct
0.0000 0.0000 0.0000
0.5000 0.5000 0.5000
0.0000 0.0000 0.5000
0.0000 0.5000 0.7500
0.5000 0.0000 0.2500
0.5000 0.5000 0.0000
0.0000 0.5000 0.2500
0.5000 0.0000 0.7500
```